Density functional theory data (GGA-PBEsol) for an optimized crystal structure of ZrMoBr2.

a b c (Å): 3.051 4.498 5.786
angles (deg): 90.00 90.00 90.00
Space group Pmmm (No. 47)
Asymmetric unit:
Zr1 0.000 0.000 0.000 [1 per cell]
Mo1 0.500 0.000 0.500 [1 per cell]
Br1 0.000 0.500 0.500 [1 per cell]
Br2 0.500 0.500 0.000 [1 per cell]

## Properties
- density of states at the Fermi level (states/eV per cell) = 3.9
- volume (Å³/cell) = 79.4
- formation energy from raw total energies (eV/atom) = 0.266
- total magnetic moment (μB/f.u.) = 0.91

---

Density functional theory data (GGA-PBEsol) for an optimized crystal structure of ZrMoBr2.

a b c (Å): 10.579 3.266 5.788
angles (deg): 90.00 94.32 90.00
Space group Cm (No. 8)
Asymmetric unit:
Zr1 0.000 0.000 0.000 [2 per cell]
Mo1 0.364 0.000 0.738 [2 per cell]
Br1 0.002 0.500 0.400 [2 per cell]
Br2 0.237 0.500 0.984 [2 per cell]

## Properties
- density of states at the Fermi level (states/eV per cell) = 1.0
- volume (Å³/cell) = 199.4
- formation energy from raw total energies (eV/atom) = -0.022
- total magnetic moment (μB/f.u.) = 0.00

---

Density functional theory data (GGA-PBEsol) for an optimized crystal structure of ZrMoBr.

a b c (Å): 3.126 3.126 11.485
angles (deg): 90.00 90.00 90.00
Space group I4mm (No. 107)
Asymmetric unit:
Zr1 0.000 0.000 0.000 [2 per cell]
Mo1 0.000 0.000 0.342 [2 per cell]
Br1 0.000 0.000 0.687 [2 per cell]

## Properties
- density of states at the Fermi level (states/eV per cell) = 7.8
- volume (Å³/cell) = 112.2
- formation energy from raw total energies (eV/atom) = 0.282
- total magnetic moment (μB/f.u.) = 0.00

---

Density functional theory data (GGA-PBEsol) for an optimized crystal structure of ZrMoBr2.

a b c (Å): 6.808 6.808 6.808
angles (deg): 90.00 90.00 90.00
Space group F-43m (No. 216)
Asymmetric unit:
Zr1 0.000 0.000 0.000 [4 per cell]
Mo1 0.250 0.250 0.750 [4 per cell]
Br1 0.000 0.000 0.500 [4 per cell]
Br2 0.250 0.250 0.250 [4 per cell]

## Properties
- density of states at the Fermi level (states/eV per cell) = 19.6
- volume (Å³/cell) = 315.5
- formation energy from raw total energies (eV/atom) = 0.646
- total magnetic moment (μB/f.u.) = 1.62

---

Density functional theory data (GGA-PBEsol) for an optimized crystal structure of NaBrN2.

a b c (Å): 3.1908 3.1908 20.1296
angles (deg): 90.00 90.00 120.00
Space group R-3m (No. 166, hexagonal axes)
Asymmetric unit:
Na1 0.0000 0.0000 0.0000 [3 per cell]
Br1 0.0000 0.0000 0.5000 [3 per cell]
N1 0.0000 0.0000 0.1098 [6 per cell]

## Properties
- density of states at the Fermi level (states/eV per cell) = 5.7
- volume (Å³/cell) = 177.5
- formation energy from raw total energies (eV/atom) = 1.531
- total magnetic moment (μB/f.u.) = 0.00

---

Density functional theory data (GGA-PBEsol) for an optimized crystal structure of Na2Pr4Br9NO.

a b c (Å): 8.521 11.681 9.686
angles (deg): 90.00 106.24 90.00
Space group P2_1 (No. 4)
Asymmetric unit:
Na1 0.219 0.000 0.430 [2 per cell]
Na2 0.220 0.540 0.430 [2 per cell]
Pr1 0.288 0.055 0.954 [2 per cell]
Pr2 0.295 0.468 0.955 [2 per cell]
Pr3 0.393 0.768 0.789 [2 per cell]
Pr4 0.405 0.767 0.165 [2 per cell]
Br1 0.096 0.927 0.687 [2 per cell]
Br2 0.100 0.608 0.694 [2 per cell]
Br3 0.106 0.916 0.122 [2 per cell]
Br4 0.108 0.615 0.117 [2 per cell]
Br5 0.230 0.265 0.742 [2 per cell]
Br6 0.248 0.265 0.144 [2 per cell]
Br7 0.359 0.769 0.468 [2 per cell]
Br8 0.496 0.515 0.699 [2 per cell]
Br9 0.497 0.019 0.700 [2 per cell]
N1 0.440 0.889 0.986 [2 per cell]
O1 0.444 0.639 0.986 [2 per cell]

## Properties
- density of states at the Fermi level (states/eV per cell) = 0.0
- volume (Å³/cell) = 925.6
- formation energy from raw total energies (eV/atom) = -1.985
- total magnetic moment (μB/f.u.) = 0.00